# 1
Below is KIrIO2 after structural relaxation, with properties calculated at the PBE level.

abc: 4.369 4.369 7.006
angles: 90.00 90.00 90.00
Fractional positions:
K 0.000 0.000 0.000
Ir 0.500 0.500 0.500
I 0.000 0.000 0.500
O 0.000 0.500 0.000
O 0.500 0.000 0.000

- E_tot (eV/cell) = -14.64
- offset from the most stable computed form (eV/f.u.) = 8.43
- E_form (uncorrected) (meV/atom) = 1356.6

---

# 2
Below is RbPHRuC after structural relaxation, with properties calculated at the PBE level.

abc: 3.843 4.834 6.063
angles: 78.19 73.49 67.07
Fractional positions:
Rb 0.000 0.000 0.000
P 0.167 0.343 0.371
H 0.342 0.925 0.451
Ru 0.482 0.554 0.550
C 0.944 0.576 0.610

- E_tot (eV/cell) = -26.74
- offset from the most stable computed form (eV/f.u.) = 0.79

---

# 3
Below is K2CaCdAu after structural relaxation, with properties calculated at the PBE level.

abc: 6.435 6.435 5.355
angles: 90.00 90.00 90.00
Fractional positions:
K 0.000 0.500 0.000
K 0.500 0.000 0.000
Ca 0.000 0.000 0.500
Cd 0.500 0.500 0.000
Au 0.500 0.500 0.500

- E_tot (eV/cell) = -7.55
- ΔE_f (kJ/mol of formula units) = 81

---

# 4
Below is TaInNiC after structural relaxation, with properties calculated at the PBE level.

abc: 3.154 3.154 6.974
angles: 90.00 90.00 120.00
Fractional positions:
Ta 0.000 0.000 0.000
In 0.000 0.000 0.426
Ni 0.667 0.333 0.711
C 0.333 0.667 0.151

- E_tot (eV/cell) = -28.66
- ΔE_f (kJ/mol of formula units) = 91
- offset from the most stable computed form (eV/f.u.) = 1.31

---

# 5
Below is Sc2Cd5 after structural relaxation, with properties calculated at the PBE level.

abc: 8.357 8.357 8.357
angles: 128.89 70.13 135.41
Fractional positions:
Sc 0.099 0.186 0.285
Sc 0.401 0.686 0.087
Sc 0.599 0.314 0.913
Sc 0.901 0.814 0.715
Cd 0.016 0.750 0.266
Cd 0.120 0.773 0.894
Cd 0.250 0.750 0.500
Cd 0.380 0.273 0.653
Cd 0.484 0.750 0.734
Cd 0.516 0.250 0.266
Cd 0.620 0.727 0.347
Cd 0.750 0.250 0.500
Cd 0.880 0.227 0.106
Cd 0.984 0.250 0.734

- E_tot (eV/cell) = -36.66
- ΔE_f (kJ/mol of formula units) = -105

---

# 6
Below is Ca2TaSb after structural relaxation, with properties calculated at the PBE level.

abc: 6.308 6.308 6.308
angles: 145.12 130.03 62.39
Fractional positions:
Ca 0.000 0.000 0.000
Ca 0.709 0.209 0.500
Ta 0.434 0.434 0.000
Sb 0.245 0.745 0.500

- E_tot (eV/cell) = -19.41
- E_form (uncorrected) (meV/atom) = 141.8

---

# 7
Below is PuTa2Ni9 after structural relaxation, with properties calculated at the PBE level.

abc: 8.323 8.323 8.323
angles: 33.68 33.68 33.68
Fractional positions:
Pu 0.000 0.000 0.000
Ta 0.142 0.142 0.142
Ta 0.858 0.858 0.858
Ni 0.082 0.590 0.590
Ni 0.334 0.334 0.334
Ni 0.410 0.410 0.918
Ni 0.410 0.918 0.410
Ni 0.500 0.500 0.500
Ni 0.590 0.082 0.590
Ni 0.590 0.590 0.082
Ni 0.666 0.666 0.666
Ni 0.918 0.410 0.410

- E_tot (eV/cell) = -92.85
- ΔE_f (kJ/mol of formula units) = -268

---

# 8
Below is SiSnP3 after structural relaxation, with properties calculated at the PBE level.

abc: 4.586 4.586 4.586
angles: 90.00 90.00 90.00
Fractional positions:
Si 0.000 0.000 0.000
Sn 0.500 0.500 0.500
P 0.000 0.000 0.500
P 0.000 0.500 0.000
P 0.500 0.000 0.000

- E_tot (eV/cell) = -22.94
- offset from the most stable computed form (eV/f.u.) = 3.00
- E_form (uncorrected) (meV/atom) = 543.1

---

# 9
Below is SnIrSe2N after structural relaxation, with properties calculated at the PBE level.

abc: 5.282 5.282 3.798
angles: 90.00 90.00 90.00
Fractional positions:
Sn 0.000 0.000 0.000
Ir 0.500 0.500 0.500
Se 0.000 0.500 0.000
Se 0.500 0.000 0.000
N 0.000 0.000 0.500

- E_tot (eV/cell) = -20.59
- offset from the most stable computed form (eV/f.u.) = 6.70
- E_form (uncorrected) (meV/atom) = 1512.9

---

# 10
Below is ScRh after structural relaxation, with properties calculated at the PBE level.

abc: 3.197 3.957 3.957
angles: 47.38 90.00 90.00
Fractional positions:
Sc 0.000 0.000 0.000
Rh 0.500 0.704 0.704

- E_tot (eV/cell) = -14.99
- ΔE_f (kJ/mol of formula units) = -126

---

# 11
Below is Sr3Tc after structural relaxation, with properties calculated at the PBE level.

abc: 7.737 7.737 5.452
angles: 90.00 90.00 120.00
Fractional positions:
Sr 0.183 0.366 0.250
Sr 0.183 0.817 0.250
Sr 0.366 0.183 0.750
Sr 0.634 0.817 0.250
Sr 0.817 0.183 0.750
Sr 0.817 0.634 0.750
Tc 0.333 0.667 0.750
Tc 0.667 0.333 0.250

- E_tot (eV/cell) = -25.04
- ΔE_f (kJ/mol of formula units) = 279

---

# 12
Below is MgSbOs2 after structural relaxation, with properties calculated at the PBE level.

abc: 4.453 4.453 3.223
angles: 90.00 90.00 90.00
Fractional positions:
Mg 0.000 0.000 0.000
Sb 0.500 0.500 0.000
Os 0.000 0.500 0.500
Os 0.500 0.000 0.500

- E_tot (eV/cell) = -26.90
- E_form (uncorrected) (meV/atom) = 317.9

---

# 13
Below is BaLiPmS3 after structural relaxation, with properties calculated at the PBE level.

abc: 8.718 4.155 8.950
angles: 90.00 103.76 90.00
Fractional positions:
Ba 0.186 0.250 0.237
Ba 0.814 0.750 0.763
Li 0.085 0.250 0.590
Li 0.915 0.750 0.410
Pm 0.332 0.750 0.834
Pm 0.668 0.250 0.166
S 0.119 0.250 0.865
S 0.197 0.750 0.518
S 0.443 0.750 0.163
S 0.557 0.250 0.837
S 0.803 0.250 0.482
S 0.881 0.750 0.135

- E_tot (eV/cell) = -64.89
- E_form (uncorrected) (meV/atom) = -1912.6

---

# 14
Below is SrLa3 after structural relaxation, with properties calculated at the PBE level.

abc: 7.810 7.810 6.130
angles: 90.00 90.00 120.00
Fractional positions:
Sr 0.333 0.667 0.250
Sr 0.667 0.333 0.750
La 0.160 0.319 0.750
La 0.160 0.840 0.750
La 0.319 0.160 0.250
La 0.681 0.840 0.750
La 0.840 0.160 0.250
La 0.840 0.681 0.250

- E_tot (eV/cell) = -31.82
- ΔE_f (kJ/mol of formula units) = 53

---

# 15
Below is La2Ni3As4Pt after structural relaxation, with properties calculated at the PBE level.

abc: 4.322 4.322 9.623
angles: 90.00 90.00 90.00
Fractional positions:
La 0.000 0.500 0.247
La 0.500 0.000 0.753
Ni 0.000 0.500 0.888
Ni 0.500 0.000 0.112
Ni 0.500 0.500 0.500
As 0.000 0.000 0.000
As 0.000 0.500 0.638
As 0.500 0.000 0.362
As 0.500 0.500 0.000
Pt 0.000 0.000 0.500

- E_tot (eV/cell) = -60.76
- ΔE_f (kJ/mol of formula units) = -861

---

# 16
Below is Y2CdPt after structural relaxation, with properties calculated at the PBE level.

abc: 4.967 4.967 4.967
angles: 60.00 60.00 60.00
Fractional positions:
Y 0.000 0.000 0.000
Y 0.250 0.250 0.250
Cd 0.750 0.750 0.750
Pt 0.500 0.500 0.500

- E_tot (eV/cell) = -21.93
- ΔE_f (kJ/mol of formula units) = -198

---

# 17
Below is Cs2HfRu4 after structural relaxation, with properties calculated at the PBE level.

abc: 9.816 9.816 9.816
angles: 150.73 150.73 41.87
Fractional positions:
Cs 0.161 0.161 0.000
Cs 0.839 0.839 0.000
Hf 0.500 0.500 0.000
Ru 0.000 0.500 0.500
Ru 0.371 0.371 0.000
Ru 0.500 0.000 0.500
Ru 0.629 0.629 0.000

- E_tot (eV/cell) = -37.35
- ΔE_f (kJ/mol of formula units) = 1101

---

# 18
Below is TlWS2N after structural relaxation, with properties calculated at the PBE level.

abc: 5.065 5.065 3.920
angles: 90.00 90.00 90.00
Fractional positions:
Tl 0.000 0.000 0.000
W 0.500 0.500 0.500
S 0.000 0.500 0.000
S 0.500 0.000 0.000
N 0.000 0.000 0.500

- E_tot (eV/cell) = -20.64
- offset from the most stable computed form (eV/f.u.) = 11.61
- E_form (uncorrected) (meV/atom) = 2251.7

---

# 19
Below is VAgPCl2 after structural relaxation, with properties calculated at the PBE level.

abc: 4.834 4.834 5.099
angles: 90.00 90.00 90.00
Fractional positions:
V 0.000 0.000 0.000
Ag 0.500 0.500 0.500
P 0.500 0.500 0.000
Cl 0.000 0.500 0.500
Cl 0.500 0.000 0.500

- E_tot (eV/cell) = -16.44
- offset from the most stable computed form (eV/f.u.) = 4.95
- E_form (uncorrected) (meV/atom) = 927.4

---

# 20
Below is SbTeIr2 after structural relaxation, with properties calculated at the PBE level.

abc: 4.115 4.115 6.516
angles: 90.04 90.04 60.07
Fractional positions:
Sb 0.000 0.000 0.000
Te 0.001 0.001 0.537
Ir 0.334 0.334 0.173
Ir 0.668 0.668 0.352

- E_tot (eV/cell) = -24.58
- offset from the most stable computed form (eV/f.u.) = 0.12
- E_form (uncorrected) (meV/atom) = 102.1

---

# 21
Below is LiAgMo2 after structural relaxation, with properties calculated at the PBE level.

abc: 3.228 3.228 6.144
angles: 90.00 90.00 90.00
Fractional positions:
Li 0.000 0.000 0.000
Ag 0.500 0.500 0.783
Mo 0.000 0.000 0.470
Mo 0.500 0.500 0.271

- E_tot (eV/cell) = -25.13
- ΔE_f (kJ/mol of formula units) = 125
- offset from the most stable computed form (eV/f.u.) = 0.50

---

# 22
Below is YPuTlCu after structural relaxation, with properties calculated at the PBE level.

abc: 5.215 5.215 5.215
angles: 60.00 60.00 60.00
Fractional positions:
Y 0.000 0.000 0.000
Pu 0.500 0.500 0.500
Tl 0.750 0.750 0.750
Cu 0.250 0.250 0.250

- E_tot (eV/cell) = -27.35
- ΔE_f (kJ/mol of formula units) = -9

---

# 23
Below is YMg2Cu3 after structural relaxation, with properties calculated at the PBE level.

abc: 5.359 5.359 8.843
angles: 90.00 90.00 120.00
Fractional positions:
Y 0.000 0.000 0.000
Y 0.000 0.000 0.500
Mg 0.333 0.667 0.083
Mg 0.333 0.667 0.417
Mg 0.667 0.333 0.583
Mg 0.667 0.333 0.917
Cu 0.180 0.361 0.750
Cu 0.180 0.820 0.750
Cu 0.361 0.180 0.250
Cu 0.639 0.820 0.750
Cu 0.820 0.180 0.250
Cu 0.820 0.639 0.250

- E_tot (eV/cell) = -44.06
- ΔE_f (kJ/mol of formula units) = -9
- offset from the most stable computed form (eV/f.u.) = 0.86

---

# 24
Below is Cs2Hg4H after structural relaxation, with properties calculated at the PBE level.

abc: 9.706 9.706 9.706
angles: 147.09 147.09 47.23
Fractional positions:
Cs 0.162 0.162 0.000
Cs 0.838 0.838 0.000
Hg 0.000 0.500 0.500
Hg 0.383 0.383 0.000
Hg 0.500 0.000 0.500
Hg 0.617 0.617 0.000
H 0.500 0.500 0.000

- E_tot (eV/cell) = -6.91

---

# 25
Below is TaMo2Pb after structural relaxation, with properties calculated at the PBE level.

abc: 6.082 6.082 6.082
angles: 102.44 102.44 124.69
Fractional positions:
Ta 0.000 0.000 0.000
Ta 0.750 0.250 0.500
Mo 0.082 0.625 0.957
Mo 0.375 0.332 0.457
Mo 0.668 0.125 0.043
Mo 0.875 0.918 0.543
Pb 0.250 0.750 0.500
Pb 0.500 0.500 0.000

- E_tot (eV/cell) = -65.91
- ΔE_f (kJ/mol of formula units) = 412

---

# 26
Below is CePdRh2 after structural relaxation, with properties calculated at the PBE level.

abc: 4.146 4.146 3.991
angles: 90.00 90.00 90.00
Fractional positions:
Ce 0.000 0.000 0.000
Pd 0.500 0.500 0.000
Rh 0.000 0.500 0.500
Rh 0.500 0.000 0.500

- E_tot (eV/cell) = -28.48
- ΔE_f (kJ/mol of formula units) = -256
- offset from the most stable computed form (eV/f.u.) = 0.00